No. 1
Material: ScCl4
Method: DFT, GGA-PBE
State: relaxed

```
ScCl4
1.0
-1.660 -5.287 -1.752
2.610 -1.563 4.952
-4.270 3.904 0.552
Sc Cl
1 4
Direct
0.000 0.000 0.000 Sc
0.250 0.750 0.500 Cl
0.750 0.250 0.500 Cl
0.701 0.701 0.000 Cl
0.299 0.299 0.000 Cl
```

Values from the calculation:
The space-group type is No. 139. Its energy relative to the elements, uncorrected is -69 kJ/mol of atoms. The value obtained for the raw total energy is -3.4600 eV/atom.



No. 2
Material: BaHgPt3
Method: DFT, GGA-PBE
State: relaxed

```
BaHgPt3
1.0
-3.459 -1.005 4.069
-1.328 -4.742 -2.300
3.975 -2.458 2.773
Hg Pt Ba
1 3 1
Direct
0.500 0.500 0.500 Hg
0.000 0.500 0.000 Pt
0.000 0.000 0.500 Pt
0.500 0.000 0.000 Pt
0.000 0.000 0.000 Ba
```

Values from the calculation:
For the formation energy, the calculation gives 1.47 eV per atom. The space-group type is No. 221. The value obtained for the raw total energy is -2.5964 eV/atom.



No. 3
Material: Pu3Pa2
Method: DFT, GGA-PBE
State: relaxed

```
Pu3Pa2
1.0
4.638 2.035 -2.956
-0.118 5.064 -2.956
0.189 0.296 9.491
Pu Pa
6 4
Direct
0.849 0.348 0.297 Pu
0.051 0.551 0.703 Pu
0.801 0.801 0.203 Pu
0.598 0.599 0.797 Pu
0.200 0.200 0.000 Pu
0.450 0.950 0.500 Pu
0.252 0.752 0.105 Pa
0.648 0.148 0.895 Pa
0.398 0.398 0.395 Pa
0.002 0.002 0.605 Pa
```

Values from the calculation:
For the formation energy, the calculation gives 0.16 eV per atom. The space-group type is No. 15. The value obtained for the raw total energy is -12.2343 eV/atom.



No. 4
Material: YBeSb2
Method: DFT, GGA-PBE
State: relaxed

```
YBeSb2
1.0
-4.202 -4.520 1.168
-1.323 -4.475 4.205
-2.717 1.579 2.552
Y Sb Be
1 2 1
Direct
0.445 0.445 0.670 Y
0.069 0.069 0.032 Sb
0.796 0.796 0.378 Sb
0.190 0.190 0.421 Be
```

Values from the calculation:
The space-group type is No. 8. Its energy relative to the elements, uncorrected is -34 kJ/mol of atoms. The value obtained for the raw total energy is -4.9645 eV/atom.



No. 5
Material: CuHN2F
Method: DFT, GGA-PBE
State: relaxed

```
CuHN2F
1.0
3.841 0.000 0.000
0.000 3.841 0.000
0.000 0.000 3.993
H N Cu F
1 2 1 1
Direct
0.500 0.500 0.500 H
0.000 0.500 0.000 N
0.500 0.000 0.000 N
0.000 0.000 0.000 Cu
0.000 0.000 0.500 F
```

Values from the calculation:
The space-group type is No. 123. The value obtained for the raw total energy is -3.6822 eV/atom.



No. 6
Material: InAg3
Method: DFT, GGA-PBE
State: relaxed

```
InAg3
1.0
-5.197 -0.410 -2.122
2.182 -2.293 -4.654
-0.489 -4.764 2.118
In Ag
2 6
Direct
0.404 0.596 0.250 In
0.596 0.404 0.750 In
0.944 0.056 0.750 Ag
0.056 0.944 0.250 Ag
0.089 0.558 0.750 Ag
0.911 0.442 0.250 Ag
0.442 0.911 0.750 Ag
0.558 0.089 0.250 Ag
```

Values from the calculation:
For the formation energy, the calculation gives 0.10 eV per atom. The space-group type is No. 63. The value obtained for the raw total energy is -2.7213 eV/atom.



No. 7
Material: LiPrNd2Se4
Method: DFT, GGA-PBE
State: relaxed

```
LiPrNd2Se4
1.0
4.200 0.000 0.000
0.000 7.273 -0.148
0.000 2.555 6.809
Li Pr Nd Se
1 1 2 4
Direct
0.000 0.500 0.500 Li
0.500 0.500 0.000 Pr
0.000 0.000 0.000 Nd
0.500 0.000 0.500 Nd
0.000 0.745 0.742 Se
0.000 0.255 0.258 Se
0.500 0.742 0.260 Se
0.500 0.258 0.740 Se
```

Values from the calculation:
The space-group type is No. 10. Its energy relative to the elements, uncorrected is -170 kJ/mol of atoms. The value obtained for the raw total energy is -5.5330 eV/atom.



No. 8
Material: CaFeCu2
Method: DFT, GGA-PBE
State: relaxed

```
CaFeCu2
1.0
4.025 0.000 0.000
0.000 3.083 0.170
0.000 1.208 5.631
Ca Fe Cu
1 1 2
Direct
0.500 0.791 0.786 Ca
0.000 0.492 0.394 Fe
0.000 0.169 0.034 Cu
0.500 0.049 0.286 Cu
```

Values from the calculation:
For the formation energy, the calculation gives 0.31 eV per atom. The space-group type is No. 6. The value obtained for the raw total energy is -4.3508 eV/atom.